<P>
PBEsol TcP2Rh, relaxed; density of states at the Fermi level = 2.398 states/eV/cell
1.0
-1.623 -0.854 -2.241
-0.312 -2.822 -0.569
-6.425 -1.447 3.334
Tc Rh P
1 1 2
direct
0.000 0.000 0.000
0.500 0.500 0.500
0.749 0.749 0.754
0.251 0.251 0.246

---

<Q>
PBEsol TcP2Rh, relaxed; density of states at the Fermi level = 2.696 states/eV/cell
1.0
-0.764 -2.701 -0.799
2.262 0.410 1.781
-4.551 -0.454 5.884
P Rh Tc
2 1 1
direct
0.000 0.000 0.249
0.000 0.000 0.751
0.500 0.000 0.500
0.500 0.000 0.000

---

<R>
PBEsol TcP2Rh, relaxed; density of states at the Fermi level = 2.648 states/eV/cell
1.0
-0.808 2.579 1.048
-3.170 -1.370 0.930
1.922 -1.289 4.652
Tc P Rh
1 2 1
direct
0.000 0.500 0.000
0.500 0.000 0.216
0.500 0.000 0.784
0.500 0.500 0.500

---

Energy ordering: <P> at the bottom, the next structure 20.8 kJ/mol of atoms above.

---

<P>
PBEsol TePRh2, relaxed; density of states at the Fermi level = 2.503 states/eV/cell
1.0
2.976 0.044 0.000
-0.042 2.976 0.000
0.000 0.000 7.025
Rh Te P
2 1 1
direct
0.000 0.000 0.810
0.000 0.000 0.190
0.500 0.500 0.500
0.500 0.500 0.000

---

<Q>
PBEsol TePRh2, relaxed; density of states at the Fermi level = 3.651 states/eV/cell
1.0
-0.999 -1.150 2.893
3.780 -2.135 0.456
1.729 3.485 1.982
P Rh Te
1 2 1
direct
0.500 0.000 0.000
0.000 0.000 0.500
0.000 0.500 0.000
0.500 0.500 0.500

---

Energy ordering: <P> at the bottom, the next structure 19.9 kJ/mol of atoms above.

---

<P>
PBEsol YP2Rh, relaxed; density of states at the Fermi level = 0.784 states/eV/cell
1.0
3.442 0.000 0.000
0.000 3.508 0.000
-1.721 -1.754 5.613
P Rh Y
2 1 1
direct
0.185 0.685 0.371
0.981 0.981 0.962
0.544 0.544 0.088
0.790 0.290 0.580

---

<Q>
PBEsol YP2Rh, relaxed; density of states at the Fermi level = 3.381 states/eV/cell
1.0
4.378 0.000 0.000
0.000 4.378 0.000
-2.189 -2.189 7.848
P Rh Y
4 2 2
direct
0.011 0.375 0.250
0.125 0.989 0.750
0.239 0.875 0.250
0.625 0.761 0.750
0.250 0.750 0.500
0.000 0.000 0.000
0.500 0.500 0.000
0.750 0.250 0.500

---

Energy ordering: <P> at the bottom, the next structure 8.7 kJ/mol of atoms above.

---

<P>
PBEsol ZnPRh2, relaxed; density of states at the Fermi level = 2.835 states/eV/cell
1.0
2.822 0.000 0.000
1.411 2.444 0.000
1.411 0.815 7.911
Zn P Rh
1 1 2
direct
0.501 0.501 0.497
0.255 0.255 0.234
0.752 0.752 0.745
0.992 0.992 0.025

---

<Q>
PBEsol ZnPRh2, relaxed; density of states at the Fermi level = 4.173 states/eV/cell
1.0
4.235 0.000 0.000
2.118 3.668 0.000
2.118 1.223 3.458
Rh Zn P
2 1 1
direct
0.000 0.000 0.000
0.750 0.750 0.750
0.250 0.250 0.250
0.500 0.500 0.500

---

Energy ordering: <P> at the bottom, the next structure 16.8 kJ/mol of atoms above.

---

<P>
The following is a DFT calculation (PBEsol) of P3Ru after structural relaxation.

```
P3Ru
1.0
-3.447 4.657 -0.824
-5.404 -1.999 -1.329
-5.030 0.802 6.242
P Ru
12 4
direct
0.193 0.530 0.448
0.829 0.084 0.318
0.658 0.783 0.342
0.683 0.055 0.940
0.342 0.217 0.658
0.848 0.682 0.085
0.171 0.916 0.682
0.152 0.318 0.915
0.322 0.335 0.235
0.317 0.945 0.060
0.807 0.470 0.552
0.678 0.665 0.765
0.227 0.931 0.372
0.723 0.366 0.044
0.773 0.069 0.628
0.277 0.634 0.956
```

---

<Q>
PBEsol P3Ru, relaxed; density of states at the Fermi level = 5.431 states/eV/cell
1.0
-2.460 -2.359 -3.027
3.706 -2.397 -1.144
-1.000 -3.078 3.211
P Ru
3 1
direct
0.000 0.500 0.000
0.500 0.000 0.000
0.000 0.000 0.500
0.000 0.000 0.000

---

Energy ordering: <P> at the bottom, the next structure 147.0 kJ/mol of atoms above.

---

<P>
PBEsol P3Ru, relaxed; density of states at the Fermi level = 2.149 states/eV/cell
1.0
-0.359 3.241 1.449
-2.860 0.033 -2.418
-2.552 -1.622 2.996
Ru P
1 3
direct
0.000 0.500 0.500
0.219 0.299 0.000
0.500 0.000 0.500
0.781 0.701 0.000

---

<Q>
PBEsol P3Ru, relaxed; density of states at the Fermi level = 2.318 states/eV/cell
1.0
2.881 0.000 0.000
0.000 2.881 0.000
0.000 0.000 6.316
P Ru
3 1
direct
0.000 0.000 0.736
0.000 0.000 0.264
0.500 0.500 0.000
0.500 0.500 0.500

---

Energy ordering: <P> at the bottom, the next structure 11.3 kJ/mol of atoms above.

---

<P>
PBEsol P3Ru, relaxed; density of states at the Fermi level = 2.655 states/eV/cell
1.0
3.971 0.000 0.000
-1.986 3.862 0.002
0.000 2.040 3.407
P Ru
3 1
direct
0.750 0.500 0.750
0.500 0.000 0.500
0.250 0.500 0.250
0.000 0.000 0.000

---

<Q>
PBEsol P3Ru, relaxed; density of states at the Fermi level = 3.111 states/eV/cell
1.0
-1.386 -1.699 -3.076
-0.883 -3.032 2.073
-3.401 1.480 0.715
P Ru
3 1
direct
0.500 0.000 0.500
0.500 0.500 0.000
0.000 0.500 0.500
0.000 0.000 0.000

---

Energy ordering: <P> at the bottom, the next structure 21.9 kJ/mol of atoms above.

---

<P>
PBEsol SbPRu2, relaxed; density of states at the Fermi level = 2.277 states/eV/cell
1.0
3.042 0.000 0.000
0.000 4.515 0.000
0.000 0.000 4.544
P Ru Sb
1 2 1
direct
0.500 0.816 0.500
0.500 0.994 0.000
0.000 0.195 0.500
0.000 0.495 0.000

---

<Q>
PBEsol SbPRu2, relaxed; density of states at the Fermi level = 4.772 states/eV/cell
1.0
3.274 0.000 0.000
0.000 3.274 0.000
0.000 0.000 5.874
Ru Sb P
2 1 1
direct
0.000 0.000 0.929
0.500 0.500 0.250
0.000 0.000 0.471
0.500 0.500 0.850

---

Energy ordering: <P> at the bottom, the next structure 8.4 kJ/mol of atoms above.

---

<P>
PBEsol ScP2Ru, relaxed; density of states at the Fermi level = 3.334 states/eV/cell
1.0
3.296 0.000 0.000
0.000 3.296 0.000
0.000 0.000 5.409
Sc P Ru
1 2 1
direct
0.500 0.500 0.794
0.000 0.000 0.986
0.500 0.500 0.284
0.000 0.000 0.436

---

<Q>
PBEsol ScP2Ru, relaxed; density of states at the Fermi level = 2.113 states/eV/cell
1.0
3.063 0.000 0.000
0.000 4.516 -0.020
-1.532 -1.064 4.193
Sc P Ru
1 2 1
direct
0.744 0.199 0.488
0.244 0.707 0.487
0.997 0.999 0.993
0.515 0.594 0.031

---

Energy ordering: <Q> at the bottom, the next structure 7.6 kJ/mol of atoms above.

---

<P>
PBEsol TePRu2, relaxed; density of states at the Fermi level = 2.780 states/eV/cell
1.0
2.975 0.000 0.000
1.487 2.576 0.000
1.487 0.859 9.160
P Ru Te
1 2 1
direct
0.274 0.274 0.179
0.745 0.745 0.766
0.997 0.997 0.009
0.484 0.484 0.547

---

<Q>
PBEsol TePRu2, relaxed; density of states at the Fermi level = 4.391 states/eV/cell
1.0
3.046 0.000 0.000
0.000 4.091 0.000
0.000 0.000 5.053
Ru Te P
2 1 1
direct
0.500 0.000 0.500
0.000 0.000 0.000
0.500 0.500 0.000
0.000 0.500 0.500

---

Energy ordering: <P> at the bottom, the next structure 35.6 kJ/mol of atoms above.

---

<P>
PBEsol TePRu2, relaxed; density of states at the Fermi level = 3.976 states/eV/cell
1.0
3.280 0.000 0.000
0.000 4.276 0.000
0.000 0.000 4.276
Ru Te P
2 1 1
direct
0.000 0.000 0.500
0.000 0.500 0.000
0.500 0.500 0.500
0.500 0.000 0.000

---

<Q>
PBEsol TePRu2, relaxed; density of states at the Fermi level = 2.786 states/eV/cell
1.0
-0.677 -3.434 0.497
2.758 -2.757 -2.718
3.582 -2.207 2.211
Ru Te P
2 1 1
direct
0.694 0.306 0.306
0.306 0.694 0.694
0.500 0.000 0.000
0.000 0.500 0.500

---

<R>
PBEsol TePRu2, relaxed; density of states at the Fermi level = 3.280 states/eV/cell
1.0
-1.181 -1.381 -2.436
2.895 -2.294 -0.102
-2.752 -3.624 3.388
P Ru Te
1 2 1
direct
0.500 0.500 0.861
0.500 0.500 0.255
0.000 0.000 0.932
0.000 0.000 0.451

---

Energy ordering: <R> at the bottom, the next structure 25.2 kJ/mol of atoms above.

---

<P>
PBEsol Y2PRu, relaxed; density of states at the Fermi level = 1.955 states/eV/cell
1.0
3.555 0.000 0.000
0.000 4.656 0.000
0.000 0.000 4.656
Ru P Y
1 1 2
direct
0.500 0.000 0.000
0.500 0.500 0.500
0.000 0.500 0.000
0.000 0.000 0.500

---

<Q>
PBEsol Y2PRu, relaxed; density of states at the Fermi level = 1.914 states/eV/cell
1.0
-0.033 3.579 -1.622
0.855 -1.586 -3.519
-5.490 0.291 0.755
Y P Ru
2 1 1
direct
0.000 0.114 0.227
0.500 0.392 0.784
0.000 0.824 0.647
0.500 0.682 0.364

---

Energy ordering: <Q> at the bottom, the next structure 23.7 kJ/mol of atoms above.